No. 1
Hf3IrO | PBE | optimized geometry

Lattice parameters (Å, degrees): 5.3111 10.8794 6.3475 90.00 90.00 90.00
Last column: nearest neighbours and their distance in Å.
Element x y z (fractional)
1 Hf 0.0364 0.1098 0.1334  1 O 2.18
2 Hf 0.0364 0.3902 0.1334  1 O 2.18
3 Hf 0.0599 0.2500 0.5738  2 O 2.11-2.13
4 Hf 0.4401 0.7500 0.0738  2 O 2.11-2.13
5 Hf 0.4636 0.6098 0.6334  1 O 2.18
6 Hf 0.4636 0.8902 0.6334  1 O 2.18
7 Hf 0.5364 0.1098 0.3666  1 O 2.18
8 Hf 0.5364 0.3902 0.3666  1 O 2.18
9 Hf 0.5599 0.2500 0.9262  2 O 2.11-2.13
10 Hf 0.9401 0.7500 0.4262  2 O 2.11-2.13
11 Hf 0.9636 0.6098 0.8666  1 O 2.18
12 Hf 0.9636 0.8902 0.8666  1 O 2.18
13 Ir 0.0000 0.0000 0.5000  6 Hf 2.62-2.86
14 Ir 0.0000 0.5000 0.5000  6 Hf 2.62-2.86
15 Ir 0.5000 0.0000 0.0000  6 Hf 2.62-2.86
16 Ir 0.5000 0.5000 0.0000  6 Hf 2.62-2.86
17 O 0.0436 0.7500 0.1025  4 Hf 2.11-2.18
18 O 0.4564 0.2500 0.6025  4 Hf 2.11-2.18
19 O 0.5436 0.7500 0.3975  4 Hf 2.11-2.18
20 O 0.9564 0.2500 0.8975  4 Hf 2.11-2.18

- Total magnetic moment: 0.00 μB/cell
- SG: Pnma, No. 62
- Formation energy from raw total energies: -1.2393 eV/atom
- Theoretical density: 13.47 g cm⁻³
- Final energy: -9.975 eV/atom


No. 2
Hf3IrO | PBE | optimized geometry

Lattice parameters (Å, degrees): 5.5857 6.1483 11.3316 90.00 109.34 90.00
Last column: nearest neighbours and their distance in Å.
Element x y z (fractional)
1 Hf 0.0121 0.0318 0.2673  1 O 2.09
2 Hf 0.0121 0.4682 0.7673  1 O 2.09
3 Hf 0.1928 0.7168 0.5256  1 O 2.09
4 Hf 0.1928 0.7832 0.0256  1 O 2.09
5 Hf 0.4432 0.2431 0.1789  2 O 2.08-2.15
6 Hf 0.4432 0.2569 0.6789  2 O 2.08-2.15
7 Hf 0.5568 0.7431 0.3211  2 O 2.08-2.15
8 Hf 0.5568 0.7569 0.8211  2 O 2.08-2.15
9 Hf 0.8072 0.2168 0.9744  1 O 2.09
10 Hf 0.8072 0.2832 0.4744  1 O 2.09
11 Hf 0.9879 0.5318 0.2327  1 O 2.09
12 Hf 0.9879 0.9682 0.7327  1 O 2.09
13 Ir 0.2917 0.1648 0.9341  6 Hf 2.64-2.91
14 Ir 0.2917 0.3352 0.4341  6 Hf 2.64-2.91
15 Ir 0.7083 0.6648 0.5659  6 Hf 2.64-2.91
16 Ir 0.7083 0.8352 0.0659  6 Hf 2.64-2.91
17 O 0.2998 0.5571 0.1712  4 Hf 2.08-2.15
18 O 0.2998 0.9429 0.6712  4 Hf 2.08-2.15
19 O 0.7002 0.0571 0.3288  4 Hf 2.08-2.15
20 O 0.7002 0.4429 0.8288  4 Hf 2.08-2.15

- Total magnetic moment: 0.00 μB/cell
- SG: P2_1/c, No. 14
- Formation energy from raw total energies: -1.3225 eV/atom
- Theoretical density: 13.45 g cm⁻³
- Final energy: -10.058 eV/atom


No. 3
Hf3IrO | PBE | optimized geometry

Lattice parameters (Å, degrees): 4.4745 4.4745 6.0922 90.00 90.00 90.00
Last column: nearest neighbours and their distance in Å.
Element x y z (fractional)
1 Hf 0.0000 0.0000 0.0000  1 Ir 2.56
2 Hf 0.0000 0.5000 0.6376  2 O 2.24
3 Hf 0.5000 0.0000 0.6376  2 O 2.24
4 Ir 0.0000 0.0000 0.4208  5 Hf 2.56-2.60
5 O 0.5000 0.5000 0.6530  4 Hf 2.24

- Total magnetic moment: 0.00 μB/cell
- SG: P4mm, No. 99
- Formation energy from raw total energies: -0.5150 eV/atom
- Theoretical density: 10.12 g cm⁻³
- Final energy: -9.251 eV/atom


No. 4
Hf3IrO | PBE | optimized geometry

Lattice parameters (Å, degrees): 5.0431 5.0431 5.0431 108.47 108.47 108.47
Last column: nearest neighbours and their distance in Å.
Element x y z (fractional)
1 Hf 0.2062 0.2062 0.5875  1 O 2.09
2 Hf 0.2062 0.5875 0.2062  1 O 2.09
3 Hf 0.5875 0.2062 0.2062  1 O 2.09
4 Ir 0.9614 0.9614 0.9614  1 O 2.27
5 O 0.5325 0.5325 0.5325  3 Hf 2.09, 1 Ir 2.27

- Total magnetic moment: 0.00 μB/cell
- SG: R3m, No. 160
- Formation energy from raw total energies: -0.6319 eV/atom
- Theoretical density: 12.08 g cm⁻³
- Final energy: -9.368 eV/atom


No. 5
Hf3IrO | PBE | optimized geometry

Lattice parameters (Å, degrees): 6.0222 4.6811 6.6122 90.00 108.59 90.00
Last column: nearest neighbours and their distance in Å.
Element x y z (fractional)
1 Hf 0.0735 0.0000 0.3838  1 O 2.13
2 Hf 0.2348 0.9879 0.9265  2 O 2.13-2.17
3 Hf 0.3726 0.5108 0.3132  1 O 2.16
4 Hf 0.6274 0.0108 0.6868  1 O 2.16
5 Hf 0.7652 0.4879 0.0735  2 O 2.13-2.17
6 Hf 0.9265 0.5000 0.6162  1 O 2.13
7 Ir 0.3885 0.5267 0.7187  6 Hf 2.65-2.87
8 Ir 0.6115 0.0267 0.2813  6 Hf 2.65-2.87
9 O 0.0739 0.7484 0.1163  4 Hf 2.13-2.17
10 O 0.9261 0.2484 0.8837  4 Hf 2.13-2.17

- Total magnetic moment: 0.00 μB/cell
- SG: P2_1, No. 4
- Formation energy from raw total energies: -1.3989 eV/atom
- Theoretical density: 13.98 g cm⁻³
- Final energy: -10.135 eV/atom


No. 6
Hf3IrO | PBE | optimized geometry

Lattice parameters (Å, degrees): 5.7499 5.8379 6.1505 65.96 89.62 76.35
Last column: nearest neighbours and their distance in Å.
Element x y z (fractional)
1 Hf 0.0000 0.0000 0.0000  2 O 2.10
2 Hf 0.0589 0.8190 0.5479  1 O 2.05
3 Hf 0.3778 0.2028 0.6662  2 O 2.07-2.17
4 Hf 0.5007 0.0197 0.2479  1 O 2.19
5 Hf 0.5995 0.5869 0.8391  1 O 2.08
6 Hf 0.8596 0.4745 0.3448  1 O 2.07
7 Ir 0.0860 0.4574 0.9694  4 Hf 2.57-2.76
8 Ir 0.3790 0.5963 0.2630  5 Hf 2.61-2.91
9 O 0.0297 0.1305 0.6309  4 Hf 2.05-2.17
10 O 0.6349 0.2018 0.9013  4 Hf 2.07-2.19

- Total magnetic moment: 0.00 μB/cell
- SG: P1, No. 1
- Formation energy from raw total energies: -1.3890 eV/atom
- Theoretical density: 13.55 g cm⁻³
- Final energy: -10.125 eV/atom


No. 7
Hf3IrO | PBE | optimized geometry

Lattice parameters (Å, degrees): 7.5982 7.5982 7.5758 91.89 91.89 24.19
Last column: nearest neighbours and their distance in Å.
Element x y z (fractional)
1 Hf 0.0141 0.0141 0.2024  2 O 2.20
2 Hf 0.1660 0.1660 0.6030  2 O 2.24
3 Hf 0.3478 0.3478 0.0268  1 O 2.39
4 Hf 0.6522 0.6522 0.9732  1 O 2.39
5 Hf 0.8340 0.8340 0.3970  2 O 2.24
6 Hf 0.9859 0.9859 0.7976  2 O 2.20
7 Ir 0.1965 0.1965 0.2589  7 Hf 2.66-2.90
8 Ir 0.8035 0.8035 0.7411  7 Hf 2.66-2.90
9 O 0.4283 0.4283 0.3057  5 Hf 2.20-2.39
10 O 0.5717 0.5717 0.6943  5 Hf 2.20-2.39

- Total magnetic moment: 0.00 μB/cell
- SG: C2/m, No. 12
- Formation energy from raw total energies: -1.2523 eV/atom
- Theoretical density: 13.79 g cm⁻³
- Final energy: -9.988 eV/atom


No. 8
Hf3IrO | PBE | optimized geometry

Lattice parameters (Å, degrees): 8.1168 8.1168 8.1168 60.00 60.00 60.00
Last column: nearest neighbours and their distance in Å.
Element x y z (fractional)
1 Hf 0.0808 0.0808 0.6692  2 O 2.23
2 Hf 0.0808 0.6692 0.0808  2 O 2.23
3 Hf 0.0808 0.6692 0.6692  2 O 2.23
4 Hf 0.3308 0.3308 0.9192  2 O 2.23
5 Hf 0.3308 0.9192 0.3308  2 O 2.23
6 Hf 0.3308 0.9192 0.9192  2 O 2.23
7 Hf 0.6692 0.0808 0.0808  2 O 2.23
8 Hf 0.6692 0.0808 0.6692  2 O 2.23
9 Hf 0.6692 0.6692 0.0808  2 O 2.23
10 Hf 0.9192 0.3308 0.3308  2 O 2.23
11 Hf 0.9192 0.3308 0.9192  2 O 2.23
12 Hf 0.9192 0.9192 0.3308  2 O 2.23
13 Ir 0.0000 0.5000 0.5000  6 Hf 2.81
14 Ir 0.5000 0.0000 0.5000  6 Hf 2.81
15 Ir 0.5000 0.5000 0.0000  6 Hf 2.81
16 Ir 0.5000 0.5000 0.5000  6 Hf 2.81
17 O 0.0000 0.0000 0.0000  6 Hf 2.23
18 O 0.0000 0.0000 0.5000  6 Hf 2.23
19 O 0.0000 0.5000 0.0000  6 Hf 2.23
20 O 0.5000 0.0000 0.0000  6 Hf 2.23

- Total magnetic moment: 0.00 μB/cell
- SG: Fd-3m, No. 227
- Formation energy from raw total energies: -0.6177 eV/atom
- Theoretical density: 13.06 g cm⁻³
- Final energy: -9.354 eV/atom


No. 9
Hf3IrO | PBE | optimized geometry

Lattice parameters (Å, degrees): 6.9767 6.9767 8.4871 93.23 93.23 27.06
Last column: nearest neighbours and their distance in Å.
Element x y z (fractional)
1 Hf 0.0406 0.0406 0.3084  2 O 2.09-2.16
2 Hf 0.1433 0.1433 0.9700  3 Ir 2.67-2.80
3 Hf 0.3218 0.3218 0.3795  2 O 2.13
4 Hf 0.6782 0.6782 0.6205  2 O 2.13
5 Hf 0.8567 0.8567 0.0300  3 Ir 2.67-2.80
6 Hf 0.9594 0.9594 0.6916  2 O 2.09-2.16
7 Ir 0.3092 0.3092 0.7883  7 Hf 2.67-2.80
8 Ir 0.6908 0.6908 0.2117  7 Hf 2.67-2.80
9 O 0.0856 0.0856 0.5484  4 Hf 2.09-2.16
10 O 0.9144 0.9144 0.4516  4 Hf 2.09-2.16

- Total magnetic moment: 0.00 μB/cell
- SG: C2/m, No. 12
- Formation energy from raw total energies: -1.2606 eV/atom
- Theoretical density: 13.16 g cm⁻³
- Final energy: -9.996 eV/atom


No. 10
Hf3IrO | PBE | optimized geometry

Lattice parameters (Å, degrees): 3.3279 5.4181 5.4181 81.66 90.00 90.00
Last column: nearest neighbours and their distance in Å.
Element x y z (fractional)
1 Hf 0.0000 0.0000 0.0000  2 O 2.22
2 Hf 0.5000 0.0202 0.4718  1 O 2.04
3 Hf 0.5000 0.4718 0.0202  1 O 2.04
4 Ir 0.0000 0.4024 0.4024  4 Hf 2.64
5 O 0.5000 0.8213 0.8213  4 Hf 2.04-2.22

- Total magnetic moment: 0.00 μB/cell
- SG: Amm2, No. 38
- Formation energy from raw total energies: -1.1079 eV/atom
- Theoretical density: 12.78 g cm⁻³
- Final energy: -9.844 eV/atom


No. 11
Hf3IrO | PBE | optimized geometry

Lattice parameters (Å, degrees): 6.1662 6.1662 6.1662 120.13 90.57 119.21
Last column: nearest neighbours and their distance in Å.
Element x y z (fractional)
1 Hf 0.2020 0.0000 0.7020  2 O 2.23
2 Hf 0.2020 0.5000 0.2020  2 O 2.23
3 Hf 0.3374 0.0874 0.2500  2 O 2.24
4 Hf 0.6626 0.9126 0.7500  2 O 2.24
5 Hf 0.7980 0.0000 0.2980  2 O 2.23
6 Hf 0.7980 0.5000 0.7980  2 O 2.23
7 Ir 0.2398 0.4898 0.7500  5 Hf 2.64-2.77
8 Ir 0.7602 0.5102 0.2500  5 Hf 2.64-2.77
9 O 0.0000 0.0000 0.0000  6 Hf 2.23-2.24
10 O 0.5000 0.0000 0.5000  6 Hf 2.23-2.24

- Total magnetic moment: 0.00 μB/cell
- SG: Imma, No. 74
- Formation energy from raw total energies: -1.3943 eV/atom
- Theoretical density: 14.83 g cm⁻³
- Final energy: -10.130 eV/atom


No. 12
Hf3IrO | PBE | optimized geometry

Lattice parameters (Å, degrees): 7.4313 7.4313 7.4313 48.68 48.68 48.68
Last column: nearest neighbours and their distance in Å.
Element x y z (fractional)
1 Hf 0.0787 0.7500 0.4213  1 O 2.01
2 Hf 0.2500 0.5787 0.9213  1 O 2.01
3 Hf 0.4213 0.0787 0.7500  1 O 2.01
4 Hf 0.5787 0.9213 0.2500  1 O 2.01
5 Hf 0.7500 0.4213 0.0787  1 O 2.01
6 Hf 0.9213 0.2500 0.5787  1 O 2.01
7 Ir 0.0000 0.0000 0.0000  6 Hf 2.63
8 Ir 0.5000 0.5000 0.5000  6 Hf 2.63
9 O 0.2500 0.2500 0.2500  3 Hf 2.01
10 O 0.7500 0.7500 0.7500  3 Hf 2.01

- Total magnetic moment: 0.00 μB/cell
- SG: R-3c, No. 167
- Formation energy from raw total energies: -1.1133 eV/atom
- Theoretical density: 11.63 g cm⁻³
- Final energy: -9.849 eV/atom


Please write out number 10 again, unchanged.
Hf3IrO | PBE | optimized geometry

Lattice parameters (Å, degrees): 3.3279 5.4181 5.4181 81.66 90.00 90.00
Last column: nearest neighbours and their distance in Å.
Element x y z (fractional)
1 Hf 0.0000 0.0000 0.0000  2 O 2.22
2 Hf 0.5000 0.0202 0.4718  1 O 2.04
3 Hf 0.5000 0.4718 0.0202  1 O 2.04
4 Ir 0.0000 0.4024 0.4024  4 Hf 2.64
5 O 0.5000 0.8213 0.8213  4 Hf 2.04-2.22

- Total magnetic moment: 0.00 μB/cell
- SG: Amm2, No. 38
- Formation energy from raw total energies: -1.1079 eV/atom
- Theoretical density: 12.78 g cm⁻³
- Final energy: -9.844 eV/atom


Number 1 is which compound?
Hf3IrO


What is the theoretical density in the fourth record?
12.08 g cm⁻³


Number 1 is which compound?
Hf3IrO